A plane-wave DFT calculation with PBE was carried out for Ho4Ag3Ir after structural relaxation.

```
8
Lattice="3.548 0.000 0.000 0.000 3.548 0.000 0.000 0.000 14.437" Properties=species:S:1:pos:R:3 pbc="T T T"
Ho 0.000 0.000 1.607
Ho 0.000 0.000 5.352
Ho 0.000 0.000 9.084
Ho 0.000 0.000 12.830
Ag 1.774 1.774 3.539
Ag 1.774 1.774 7.218
Ag 1.774 1.774 10.897
Ir 1.774 1.774 0.000
```

Values from the calculation:
Formation energy from the elements ... -0.47 eV per atom
Space-group type ... P4/mmm
Calculated total energy ... -4.94 eV per atom